1.
This record from Alexandria via LeMat-Bulk describes crystalline Tl2GaHN at its relaxed geometry. The functional is PBE.

a = 5.831 Å, b = 3.599 Å, c = 5.831 Å
α = 90.00°, β = 90.00°, γ = 90.00°
Sites, in units of the cell vectors:
H 0.500 0.500 0.500
Tl 0.500 0.000 0.000
Tl 0.000 0.000 0.500
N 0.000 0.500 0.000
Ga 0.000 0.000 0.000

Computed properties:
VASP energy   -15.8 eV/f.u.
Density   6.7 g cm⁻³

2.
This record from Alexandria via LeMat-Bulk describes crystalline Ga2HWN at its relaxed geometry. The functional is PBE.

a = 5.081 Å, b = 3.349 Å, c = 5.081 Å
α = 90.00°, β = 90.00°, γ = 90.00°
Last column: magnetic moment on the atom in μB.
Sites, in units of the cell vectors:
Ga 0.500 0.000 0.000  0.02
Ga 0.000 0.000 0.500  0.01
N 0.500 0.500 0.500  1.47
W 0.000 0.000 0.000  0.79
H 0.000 0.500 0.000  0.00

Computed properties:
VASP energy   -23.3 eV/f.u.
Density   6.5 g cm⁻³

3.
This record from Alexandria via LeMat-Bulk describes crystalline ZrGa2HN at its relaxed geometry. The functional is PBE.

a = 3.471 Å, b = 5.685 Å, c = 3.471 Å
α = 90.00°, β = 90.00°, γ = 90.00°
Sites, in units of the cell vectors:
Zr 0.000 0.500 0.000
N 0.500 0.500 0.500
H 0.000 0.000 0.000
Ga 0.000 0.000 0.500
Ga 0.500 0.000 0.000

Computed properties:
VASP energy   -24.9 eV/f.u.
Density   6.0 g cm⁻³

4.
This record from Alexandria via LeMat-Bulk describes crystalline Na2GaH5 at its relaxed geometry. The functional is PBE.

a = 6.822 Å, b = 6.813 Å, c = 5.028 Å
α = 137.22°, β = 137.28°, γ = 58.33°
Sites, in units of the cell vectors:
H 0.747 0.748 0.821
H 0.753 0.752 0.302
H 0.825 0.225 0.113
H 0.225 0.825 0.114
H 0.273 0.273 0.110
Na 0.291 0.773 0.627
Na 0.773 0.291 0.625
Ga 0.890 0.890 0.842

Computed properties:
Density   1.9 g cm⁻³
Excess energy over the best structure of this formula in the dataset   0.0265 eV/atom

5.
This record from Alexandria via LeMat-Bulk describes crystalline NaGa2H8 at its relaxed geometry. The functional is PBE.

a = 4.872 Å, b = 5.102 Å, c = 5.102 Å
α = 75.36°, β = 82.69°, γ = 82.69°
Sites, in units of the cell vectors:
Ga 0.517 0.746 0.746
Ga 0.483 0.254 0.254
H 0.472 0.238 0.913
H 0.528 0.087 0.762
H 0.761 0.596 0.596
H 0.239 0.404 0.404
H 0.472 0.913 0.238
H 0.804 0.272 0.272
H 0.528 0.762 0.087
H 0.196 0.728 0.728
Na 0.000 0.000 0.000

Computed properties:
Density   2.3 g cm⁻³
Excess energy over the best structure of this formula in the dataset   0.0598 eV/atom

6.
This record from Alexandria via LeMat-Bulk describes crystalline NaGaH3 at its relaxed geometry. The functional is PBE.

a = 3.805 Å, b = 3.805 Å, c = 3.805 Å
α = 90.00°, β = 90.00°, γ = 90.00°
Sites, in units of the cell vectors:
H 0.000 0.000 0.500
H 0.500 0.000 0.000
H 0.000 0.500 0.000
Na 0.500 0.500 0.500
Ga 0.000 0.000 0.000

Computed properties:
Density   2.9 g cm⁻³
Excess energy over the best structure of this formula in the dataset   0.1716 eV/atom

7.
This record from Alexandria via LeMat-Bulk describes crystalline NaGaH at its relaxed geometry. The functional is PBE.

a = 4.380 Å, b = 5.581 Å, c = 5.720 Å
α = 119.20°, β = 112.65°, γ = 90.00°
Sites, in units of the cell vectors:
Na 0.103 0.854 0.708
Na 0.897 0.146 0.292
Ga 0.696 0.446 0.892
Ga 0.304 0.554 0.108
H 0.486 0.735 0.471
H 0.514 0.265 0.529

Computed properties:
Density   2.8 g cm⁻³
Excess energy over the best structure of this formula in the dataset   0.0345 eV/atom

8.
This record from Alexandria via LeMat-Bulk describes crystalline NaGa2H2 at its relaxed geometry. The functional is PBE.

a = 3.669 Å, b = 3.669 Å, c = 6.190 Å
α = 72.76°, β = 72.76°, γ = 90.00°
Sites, in units of the cell vectors:
Ga 0.250 0.750 0.500
Ga 0.750 0.250 0.500
H 0.602 0.602 0.795
H 0.398 0.398 0.205
Na 0.000 0.000 0.000

Computed properties:
Density   3.6 g cm⁻³
Excess energy over the best structure of this formula in the dataset   0.1762 eV/atom

density of number 5 (NaGa2H8)?
2.3 g cm⁻³

Which of these has the lowest density?
Na2GaH5

What is the density in the seventh record?
2.8 g cm⁻³

Which value of density does entry 2 give?
6.5 g cm⁻³